1.
The following is a DFT calculation (PBEsol) of a relaxed structure of Sm12Co6Sn.

Values from the calculation:
VASP energy = -115.80 eV for the cell shown
SG = Im-3 (204)
volume = 24.0 Å³ per atom

a = 8.395 Å, b = 8.395 Å, c = 8.395 Å
α = 109.47°, β = 109.47°, γ = 109.47°
Fractional positions:
Sm 0.194 0.696 0.889
Sm 0.806 0.304 0.111
Sm 0.806 0.696 0.502
Sm 0.194 0.304 0.498
Sm 0.304 0.111 0.806
Sm 0.696 0.889 0.194
Sm 0.304 0.498 0.194
Sm 0.696 0.502 0.806
Sm 0.498 0.194 0.304
Sm 0.502 0.806 0.696
Sm 0.889 0.194 0.696
Sm 0.111 0.806 0.304
Co 0.112 0.612 0.500
Co 0.888 0.388 0.500
Co 0.612 0.500 0.112
Co 0.388 0.500 0.888
Co 0.500 0.888 0.388
Co 0.500 0.112 0.612
Sn 0.000 0.000 0.000

=====

2.
The following is a DFT calculation (PBEsol) of a relaxed structure of SmYCo4.

Values from the calculation:
VASP energy = -43.73 eV for the cell shown
SG = F-43m (216)
volume = 14.7 Å³ per atom

a = 4.998 Å, b = 4.998 Å, c = 4.998 Å
α = 60.00°, β = 60.00°, γ = 60.00°
Fractional positions:
Y 0.000 0.000 0.000
Co 0.625 0.125 0.625
Co 0.625 0.625 0.125
Co 0.625 0.625 0.625
Co 0.125 0.625 0.625
Sm 0.250 0.250 0.250

=====

3.
The following is a DFT calculation (PBEsol) of a relaxed structure of CoSn.

Values from the calculation:
VASP energy = -36.96 eV for the cell shown
SG = P6/mmm (191)
volume = 16.3 Å³ per atom

a = 4.157 Å, b = 5.216 Å, c = 5.216 Å
α = 120.00°, β = 90.00°, γ = 90.00°
Fractional positions:
Co 0.000 0.500 0.000
Co 0.000 0.500 0.500
Co 0.000 0.000 0.500
Sn 0.500 0.667 0.333
Sn 0.500 0.333 0.667
Sn 0.000 0.000 0.000

=====

4.
The following is a DFT calculation (PBEsol) of a relaxed structure of CoSn2.

Values from the calculation:
VASP energy = -33.29 eV for the cell shown
SG = I4/mcm (140)
volume = 17.7 Å³ per atom

a = 5.187 Å, b = 5.187 Å, c = 5.187 Å
α = 105.77°, β = 105.77°, γ = 117.16°
Fractional positions:
Co 0.250 0.250 0.000
Co 0.750 0.750 0.000
Sn 0.334 0.166 0.500
Sn 0.666 0.834 0.500
Sn 0.166 0.666 0.832
Sn 0.834 0.334 0.168

=====

5.
The following is a DFT calculation (PBEsol) of a relaxed structure of Sr3CoSn.

Values from the calculation:
VASP energy = -14.35 eV for the cell shown
SG = Pm-3m (221)
volume = 47.7 Å³ per atom

a = 6.200 Å, b = 6.200 Å, c = 6.200 Å
α = 90.00°, β = 90.00°, γ = 90.00°
Fractional positions:
Sr 0.000 0.500 0.000
Sr 0.000 0.000 0.500
Sr 0.500 0.000 0.000
Co 0.500 0.500 0.500
Sn 0.000 0.000 0.000

=====

6.
The following is a DFT calculation (PBEsol) of a relaxed structure of Tb3Co8Sn4.

Values from the calculation:
VASP energy = -198.24 eV for the cell shown
SG = P6_3mc (186)
volume = 16.2 Å³ per atom

a = 7.344 Å, b = 8.747 Å, c = 8.747 Å
α = 120.00°, β = 90.00°, γ = 90.00°
Fractional positions:
Tb 0.216 0.530 0.470
Tb 0.216 0.530 0.060
Tb 0.716 0.470 0.530
Tb 0.216 0.940 0.470
Tb 0.716 0.470 0.940
Tb 0.716 0.060 0.530
Co 0.428 0.333 0.667
Co 0.928 0.667 0.333
Co 0.238 0.903 0.097
Co 0.238 0.903 0.806
Co 0.738 0.097 0.903
Co 0.238 0.194 0.097
Co 0.738 0.097 0.194
Co 0.738 0.806 0.903
Co 0.049 0.159 0.841
Co 0.049 0.159 0.317
Co 0.549 0.841 0.159
Co 0.049 0.683 0.841
Co 0.549 0.841 0.683
Co 0.549 0.317 0.159
Co 0.993 0.000 0.000
Co 0.493 0.000 0.000
Sn 0.052 0.333 0.667
Sn 0.552 0.667 0.333
Sn 0.418 0.171 0.829
Sn 0.418 0.171 0.342
Sn 0.918 0.829 0.171
Sn 0.418 0.658 0.829
Sn 0.918 0.829 0.658
Sn 0.918 0.342 0.171

=====

7.
The following is a DFT calculation (PBEsol) of a relaxed structure of CoTcSn3.

Values from the calculation:
VASP energy = -27.72 eV for the cell shown
SG = Pm-3m (221)
volume = 21.5 Å³ per atom

a = 4.752 Å, b = 4.752 Å, c = 4.752 Å
α = 90.00°, β = 90.00°, γ = 90.00°
Fractional positions:
Co 0.000 0.000 0.000
Sn 0.000 0.500 0.000
Sn 0.000 0.000 0.500
Sn 0.500 0.000 0.000
Tc 0.500 0.500 0.500

=====

8.
The following is a DFT calculation (PBEsol) of a relaxed structure of CoTcSn2.

Values from the calculation:
VASP energy = -26.97 eV for the cell shown
SG = Fm-3m (225)
volume = 15.9 Å³ per atom

a = 4.476 Å, b = 4.476 Å, c = 4.476 Å
α = 60.00°, β = 60.00°, γ = 60.00°
Fractional positions:
Co 0.000 0.000 0.000
Sn 0.250 0.250 0.250
Sn 0.750 0.750 0.750
Tc 0.500 0.500 0.500

=====

9.
The following is a DFT calculation (PBEsol) of a relaxed structure of Co2Sn3Te3.

Values from the calculation:
formation energy (no corrections) = -0.31 eV/atom
VASP energy = -165.21 eV for the cell shown
SG = R-3 (148)
volume = 23.1 Å³ per atom

a = 9.040 Å, b = 9.040 Å, c = 9.040 Å
α = 90.02°, β = 90.02°, γ = 90.02°
Fractional positions:
Co 0.244 0.745 0.248
Co 0.248 0.244 0.745
Co 0.745 0.248 0.244
Co 0.756 0.255 0.752
Co 0.752 0.756 0.255
Co 0.255 0.752 0.756
Co 0.747 0.747 0.747
Co 0.253 0.253 0.253
Sn 0.680 0.002 0.834
Sn 0.834 0.680 0.002
Sn 0.002 0.834 0.680
Sn 0.320 0.998 0.166
Sn 0.166 0.320 0.998
Sn 0.998 0.166 0.320
Sn 0.180 0.499 0.667
Sn 0.667 0.180 0.499
Sn 0.499 0.667 0.180
Sn 0.820 0.501 0.333
Sn 0.333 0.820 0.501
Sn 0.501 0.333 0.820
Te 0.161 0.497 0.344
Te 0.344 0.161 0.497
Te 0.497 0.344 0.161
Te 0.839 0.503 0.656
Te 0.656 0.839 0.503
Te 0.503 0.656 0.839
Te 0.661 0.000 0.156
Te 0.156 0.661 0.000
Te 0.000 0.156 0.661
Te 0.339 0.000 0.844
Te 0.844 0.339 0.000
Te 0.000 0.844 0.339

=====

10.
The following is a DFT calculation (PBEsol) of a relaxed structure of Ti2Co3Sn2.

Values from the calculation:
VASP energy = -51.54 eV for the cell shown
SG = R3m (160)
volume = 14.7 Å³ per atom

a = 4.189 Å, b = 4.189 Å, c = 7.193 Å
α = 73.07°, β = 73.07°, γ = 60.00°
Fractional positions:
Co 0.878 0.878 0.366
Co 0.372 0.372 0.885
Co 0.625 0.625 0.125
Sn 0.005 0.005 0.985
Sn 0.496 0.496 0.511
Ti 0.246 0.246 0.261
Ti 0.753 0.753 0.741

=====

11.
The following is a DFT calculation (PBEsol) of a relaxed structure of Tl3CoSn.

Values from the calculation:
VASP energy = -13.87 eV for the cell shown
SG = Pm-3m (221)
volume = 35.3 Å³ per atom

a = 5.610 Å, b = 5.610 Å, c = 5.610 Å
α = 90.00°, β = 90.00°, γ = 90.00°
Fractional positions:
Tl 0.000 0.500 0.000
Tl 0.000 0.000 0.500
Tl 0.500 0.000 0.000
Co 0.500 0.500 0.500
Sn 0.000 0.000 0.000

=====

12.
The following is a DFT calculation (PBEsol) of a relaxed structure of Tl2CoSn.

Values from the calculation:
VASP energy = -14.73 eV for the cell shown
SG = Fm-3m (225)
volume = 22.0 Å³ per atom

a = 4.995 Å, b = 4.995 Å, c = 4.995 Å
α = 60.00°, β = 60.00°, γ = 60.00°
Fractional positions:
Tl 0.250 0.250 0.250
Tl 0.750 0.750 0.750
Co 0.000 0.000 0.000
Sn 0.500 0.500 0.500

=====

13.
The following is a DFT calculation (PBEsol) of a relaxed structure of TmCoSn.

Values from the calculation:
VASP energy = -74.07 eV for the cell shown
SG = Pnma (62)
volume = 18.6 Å³ per atom

a = 4.326 Å, b = 6.764 Å, c = 7.612 Å
α = 90.00°, β = 90.00°, γ = 90.00°
Fractional positions:
Tm 0.250 0.019 0.311
Tm 0.750 0.981 0.689
Tm 0.250 0.519 0.189
Tm 0.750 0.481 0.811
Co 0.250 0.274 0.602
Co 0.750 0.726 0.398
Co 0.250 0.774 0.898
Co 0.750 0.226 0.102
Sn 0.250 0.170 0.925
Sn 0.750 0.830 0.075
Sn 0.250 0.670 0.575
Sn 0.750 0.330 0.425

=====

14.
The following is a DFT calculation (PBEsol) of a relaxed structure of TmCo2Sn.

Values from the calculation:
VASP energy = -26.01 eV for the cell shown
SG = Fm-3m (225)
volume = 15.4 Å³ per atom

a = 4.431 Å, b = 4.431 Å, c = 4.431 Å
α = 60.00°, β = 60.00°, γ = 60.00°
Fractional positions:
Tm 0.500 0.500 0.500
Co 0.250 0.250 0.250
Co 0.750 0.750 0.750
Sn 0.000 0.000 0.000

=====

15.
The following is a DFT calculation (PBEsol) of a relaxed structure of Tm6Co2Sn.

Values from the calculation:
VASP energy = -105.17 eV for the cell shown
SG = Immm (71)
volume = 22.8 Å³ per atom

a = 8.111 Å, b = 8.111 Å, c = 8.111 Å
α = 72.99°, β = 70.22°, γ = 111.66°
Fractional positions:
Tm 0.791 0.237 0.972
Tm 0.209 0.763 0.028
Tm 0.209 0.237 0.553
Tm 0.791 0.763 0.447
Tm 0.532 0.716 0.184
Tm 0.468 0.284 0.816
Tm 0.100 0.284 0.184
Tm 0.900 0.716 0.816
Tm 0.688 0.012 0.676
Tm 0.312 0.988 0.324
Tm 0.312 0.637 0.676
Tm 0.688 0.363 0.324
Co 0.658 0.000 0.342
Co 0.342 0.000 0.658
Co 0.500 0.615 0.885
Co 0.500 0.385 0.115
Sn 0.000 0.500 0.500
Sn 0.000 0.000 0.000

=====

16.
The following is a DFT calculation (PBEsol) of a relaxed structure of CoSnW3.

Values from the calculation:
VASP energy = -46.98 eV for the cell shown
SG = Pm-3m (221)
volume = 17.7 Å³ per atom

a = 4.453 Å, b = 4.453 Å, c = 4.453 Å
α = 90.00°, β = 90.00°, γ = 90.00°
Fractional positions:
Co 0.000 0.000 0.000
Sn 0.500 0.500 0.500
W 0.000 0.500 0.000
W 0.000 0.000 0.500
W 0.500 0.000 0.000

=====

17.
The following is a DFT calculation (PBEsol) of a relaxed structure of Y3Co8Sn4.

Values from the calculation:
VASP energy = -209.41 eV for the cell shown
SG = P6_3mc (186)
volume = 16.2 Å³ per atom

a = 7.336 Å, b = 8.745 Å, c = 8.745 Å
α = 120.00°, β = 90.00°, γ = 90.00°
Fractional positions:
Y 0.500 0.530 0.470
Y 0.000 0.470 0.530
Y 0.500 0.530 0.059
Y 0.500 0.941 0.470
Y 0.000 0.059 0.530
Y 0.000 0.470 0.941
Co 0.022 0.806 0.903
Co 0.277 0.000 0.000
Co 0.777 0.000 0.000
Co 0.208 0.667 0.333
Co 0.708 0.333 0.667
Co 0.522 0.903 0.097
Co 0.332 0.159 0.841
Co 0.832 0.841 0.683
Co 0.832 0.317 0.159
Co 0.332 0.683 0.841
Co 0.332 0.159 0.317
Co 0.832 0.841 0.159
Co 0.022 0.097 0.903
Co 0.522 0.903 0.806
Co 0.522 0.194 0.097
Co 0.022 0.097 0.194
Sn 0.703 0.171 0.829
Sn 0.203 0.829 0.658
Sn 0.203 0.342 0.171
Sn 0.703 0.658 0.829
Sn 0.703 0.171 0.342
Sn 0.203 0.829 0.171
Sn 0.335 0.333 0.667
Sn 0.835 0.667 0.333

=====

18.
The following is a DFT calculation (PBEsol) of a relaxed structure of ZrCoSn3.

Values from the calculation:
VASP energy = -28.06 eV for the cell shown
SG = Pm-3m (221)
volume = 22.2 Å³ per atom

a = 4.804 Å, b = 4.804 Å, c = 4.804 Å
α = 90.00°, β = 90.00°, γ = 90.00°
Fractional positions:
Co 0.000 0.000 0.000
Sn 0.000 0.500 0.000
Sn 0.000 0.000 0.500
Sn 0.500 0.000 0.000
Zr 0.500 0.500 0.500

=====

19.
The following is a DFT calculation (PBEsol) of a relaxed structure of Zr18Co5Sn4.

Values from the calculation:
VASP energy = -229.86 eV for the cell shown
SG = Pm (6)
volume = 19.8 Å³ per atom

a = 3.335 Å, b = 7.856 Å, c = 20.731 Å
α = 100.90°, β = 90.00°, γ = 90.00°
Fractional positions:
Zr 0.000 0.244 0.002
Zr 0.000 0.575 0.663
Zr 0.000 0.907 0.330
Zr 0.000 0.252 0.748
Zr 0.000 0.589 0.413
Zr 0.000 0.926 0.083
Zr 0.000 0.837 0.921
Zr 0.000 0.170 0.584
Zr 0.000 0.498 0.254
Zr 0.500 0.936 0.665
Zr 0.500 0.261 0.350
Zr 0.500 0.599 0.018
Zr 0.500 0.132 0.869
Zr 0.500 0.432 0.520
Zr 0.500 0.762 0.188
Zr 0.500 0.592 0.798
Zr 0.500 0.976 0.461
Zr 0.500 0.310 0.132
Co 0.500 0.000 0.002
Co 0.500 0.334 0.665
Co 0.500 0.668 0.332
Co 0.000 0.221 0.443
Co 0.000 0.558 0.113
Sn 0.000 0.451 0.895
Sn 0.000 0.773 0.549
Sn 0.000 0.111 0.223
Sn 0.000 0.886 0.778

=====

20.
The following is a DFT calculation (PBEsol) of a relaxed structure of SrTa2Co.

Values from the calculation:
VASP energy = -32.42 eV for the cell shown
SG = P2/m (10)
volume = 20.2 Å³ per atom

a = 2.877 Å, b = 3.594 Å, c = 7.811 Å
α = 90.00°, β = 92.63°, γ = 90.00°
Fractional positions:
Co 0.500 0.500 0.000
Sr 0.500 0.500 0.500
Ta 0.072 0.000 0.839
Ta 0.928 0.000 0.161